[1]
{"formula": "Ca2AgRh", "functional": "SCAN", "state": "single point on PBEsol structure", "cell": [[-0.0603, -0.6552, 3.3641], [4.4154, -2.2364, -0.3564], [2.2631, 4.3274, 0.8834]], "species": ["Ca", "Ca", "Rh", "Ag"], "fractional_positions": [[0.0000, 0.3767, 0.5000], [0.0000, 0.8731, 0.0000], [0.5000, 0.3717, 0.0000], [0.5000, 0.8785, 0.5000]], "sg": "Pmm2", "final_energy_ev_per_cell": -85.716, "dos_ef_per_ev_atom": 0.282, "ef_ev_per_atom": -0.313}

***

[2]
{"formula": "CaAgRh2", "functional": "SCAN", "state": "single point on PBEsol structure", "cell": [[3.0170, 0.0000, 0.0000], [0.0000, 4.7146, 0.0000], [-1.5085, -2.3573, 4.6681]], "species": ["Ca", "Ag", "Rh", "Rh"], "fractional_positions": [[0.5000, 0.0000, 0.0000], [0.0000, 0.5000, 0.0000], [0.2584, 0.2584, 0.5167], [0.7416, 0.7416, 0.4833]], "sg": "Immm", "final_energy_ev_per_cell": -108.244, "dos_ef_per_ev_atom": 0.696, "ef_ev_per_atom": 0.082}

***

[3]
{"formula": "CaAgRh2", "functional": "SCAN", "state": "single point on PBEsol structure", "cell": [[-1.7276, 2.6941, 0.9650], [-0.9349, -1.5967, 2.7839], [4.9155, 2.1244, 2.8691]], "species": ["Rh", "Rh", "Ag", "Ca"], "fractional_positions": [[0.0000, 0.0000, 0.7772], [0.0000, 0.0000, 0.2228], [0.5000, 0.5000, 0.0000], [0.5000, 0.5000, 0.5000]], "sg": "P4/mmm", "final_energy_ev_per_cell": -108.004, "dos_ef_per_ev_atom": 1.329, "ef_ev_per_atom": 0.142}

***

[4]
{"formula": "CaAg2Ru", "functional": "SCAN", "state": "single point on PBEsol structure", "cell": [[-0.3996, -0.7822, 3.8731], [4.1045, 0.6045, 0.5455], [-2.5614, 4.2162, -1.4489]], "species": ["Ru", "Ag", "Ag", "Ca"], "fractional_positions": [[0.2526, 0.7526, 0.5051], [0.7477, 0.2477, 0.4955], [0.9986, 0.9986, 0.9972], [0.5011, 0.5011, 0.0022]], "sg": "Imm2", "final_energy_ev_per_cell": -105.997, "dos_ef_per_ev_atom": 0.992, "relative_energy_ev_per_fu": 0.04, "ef_ev_per_atom": 0.307}

***

[5]
{"formula": "CaAg2Ru", "functional": "SCAN", "state": "single point on PBEsol structure", "cell": [[4.1674, 0.0000, 0.0000], [0.0000, 4.1674, 0.0000], [-2.0837, -2.0837, 4.1101]], "species": ["Ru", "Ag", "Ag", "Ca"], "fractional_positions": [[0.0000, 0.0000, 0.0000], [0.7500, 0.2500, 0.5000], [0.2500, 0.7500, 0.5000], [0.5000, 0.5000, 0.0000]], "sg": "I4/mmm", "final_energy_ev_per_cell": -106.041, "dos_ef_per_ev_atom": 0.508, "relative_energy_ev_per_fu": 0.00, "ef_ev_per_atom": 0.296}

***

[6]
{"formula": "CaAgRu2", "functional": "SCAN", "state": "single point on PBEsol structure", "cell": [[3.8437, 0.0000, 0.0000], [0.0000, 3.8437, 0.0000], [0.0000, 0.0000, 4.4479]], "species": ["Ag", "Ca", "Ru", "Ru"], "fractional_positions": [[0.5000, 0.5000, 0.5000], [0.0000, 0.0000, 0.5000], [0.0000, 0.5000, 0.0000], [0.5000, 0.0000, 0.0000]], "sg": "P4/mmm", "final_energy_ev_per_cell": -108.718, "dos_ef_per_ev_atom": 0.911, "relative_energy_ev_per_fu": 0.00, "ef_ev_per_atom": 0.491}

***

[7]
{"formula": "CaAgRu2", "functional": "SCAN", "state": "single point on PBEsol structure", "cell": [[-2.6135, -0.6415, -0.1434], [0.2623, -0.4785, -2.6391], [2.0034, -8.5532, 1.7499]], "species": ["Ru", "Ru", "Ca", "Ag"], "fractional_positions": [[0.0000, 0.0000, 0.2362], [0.0000, 0.0000, 0.7638], [0.5000, 0.5000, 0.5000], [0.5000, 0.5000, 0.0000]], "sg": "P4/mmm", "final_energy_ev_per_cell": -108.157, "dos_ef_per_ev_atom": 0.587, "relative_energy_ev_per_fu": 0.56, "ef_ev_per_atom": 0.632}

***

[8]
{"formula": "CaAg2Ru", "functional": "SCAN", "state": "single point on PBEsol structure", "cell": [[2.9453, 0.0000, 0.0000], [1.4727, 2.5507, 0.0000], [1.4727, 0.8502, 9.4338]], "species": ["Ag", "Ag", "Ca", "Ru"], "fractional_positions": [[0.9975, 0.9975, 0.0074], [0.7456, 0.7456, 0.7633], [0.5048, 0.5048, 0.4855], [0.2521, 0.2521, 0.2438]], "sg": "R3m", "final_energy_ev_per_cell": -105.328, "dos_ef_per_ev_atom": 0.609, "relative_energy_ev_per_fu": 0.71, "ef_ev_per_atom": 0.474}